Entry 1:
First-principles (PBE) data for K2BaI after structural relaxation, as listed in Alexandria.

```
K2BaI
1.0
4.353 0.000 0.000
0.000 4.353 0.000
0.000 0.000 11.730
K Ba I
2 1 1
Direct
0.000 0.000 0.178
0.000 0.000 0.822
0.500 0.500 0.500
0.500 0.500 0.000
```

Properties
E_form (uncorrected) (eV per atom): -0.60
Size of the total moment (μB per cell): 0.611
Offset from the most stable computed form (meV per atom): 0
DOS(E_F) (states/eV/cell): 3.1
Symmetry: No. 123



Entry 2:
First-principles (PBE) data for BaMn2VPb after structural relaxation, as listed in Alexandria.

```
BaMn2VPb
1.0
5.057 0.000 0.000
0.000 5.057 0.000
0.000 0.000 5.317
Ba Mn V Pb
1 2 1 1
Direct
0.000 0.000 0.000
0.000 0.500 0.500
0.500 0.000 0.500
0.500 0.500 0.000
0.500 0.500 0.500
```

Properties
Energy relative to the elements (eV per atom): 1.606
Size of the total moment (μB per cell): 3.240
DOS(E_F) (states/eV/cell): 9.1
Symmetry: No. 123



Entry 3:
First-principles (PBE) data for ZnCr2Ga2 after structural relaxation, as listed in Alexandria.

```
ZnCr2Ga2
1.0
6.676 0.000 0.000
0.000 6.676 0.000
0.000 0.000 3.231
Zn Cr Ga
2 4 4
Direct
0.000 0.000 0.000
0.500 0.500 0.000
0.113 0.387 0.000
0.387 0.887 0.000
0.613 0.113 0.000
0.887 0.613 0.000
0.180 0.680 0.500
0.320 0.180 0.500
0.680 0.820 0.500
0.820 0.320 0.500
```

Properties
Energy relative to the elements (eV per atom): 0.152
Size of the total moment (μB per cell): 0.000
Offset from the most stable computed form (meV per atom): 2
DOS(E_F) (states/eV/cell): 3.8
Symmetry: No. 127



Entry 4:
First-principles (PBE) data for PrY2Tc after structural relaxation, as listed in Alexandria.

```
PrY2Tc
1.0
3.477 0.000 0.000
0.000 3.477 0.000
0.000 0.000 9.213
Pr Y Tc
1 2 1
Direct
0.000 0.000 0.000
0.500 0.500 0.320
0.500 0.500 0.680
0.000 0.000 0.500
```

Properties
Energy relative to the elements (eV per atom): 0.038
Size of the total moment (μB per cell): 0.000
Offset from the most stable computed form (meV per atom): 78
DOS(E_F) (states/eV/cell): 7.0
Symmetry: No. 123



Entry 5:
First-principles (PBE) data for ZnGe2Sb after structural relaxation, as listed in Alexandria.

```
ZnGe2Sb
1.0
0.000 3.476 3.476
3.476 0.000 3.476
3.476 3.476 0.000
Zn Ge Sb
1 2 1
Direct
0.000 0.000 0.000
0.250 0.250 0.250
0.750 0.750 0.750
0.500 0.500 0.500
```

Properties
E_form (uncorrected) (eV per atom): 0.32
Size of the total moment (μB per cell): 0.000
Offset from the most stable computed form (meV per atom): 168
DOS(E_F) (states/eV/cell): 2.1
Symmetry: No. 225



Entry 6:
First-principles (PBE) data for LaZnSi after structural relaxation, as listed in Alexandria.

```
LaZnSi
1.0
4.221 0.000 0.000
0.000 4.371 0.000
0.000 0.000 7.305
La Zn Si
2 2 2
Direct
0.000 0.000 0.000
0.500 0.000 0.500
0.000 0.500 0.330
0.000 0.500 0.670
0.500 0.500 0.163
0.500 0.500 0.837
```

Properties
E_form (uncorrected) (eV per atom): -0.63
Size of the total moment (μB per cell): 0.000
DOS(E_F) (states/eV/cell): 4.2
Symmetry: No. 47



Entry 7:
First-principles (PBE) data for Nb2Ni6Rh after structural relaxation, as listed in Alexandria.

```
Nb2Ni6Rh
1.0
5.512 -1.850 0.000
5.512 1.850 0.000
-1.861 0.000 5.660
Nb Ni Rh
2 6 1
Direct
0.063 0.063 0.325
0.937 0.937 0.675
0.174 0.174 0.001
0.273 0.273 0.668
0.388 0.388 0.334
0.612 0.612 0.666
0.727 0.727 0.332
0.826 0.826 0.999
0.500 0.500 0.000
```

Properties
Energy relative to the elements (eV per atom): -0.213
Size of the total moment (μB per cell): 0.000
Offset from the most stable computed form (meV per atom): 0
DOS(E_F) (states/eV/cell): 7.3
Symmetry: No. 12



Entry 8:
First-principles (PBE) data for BaLiCo2 after structural relaxation, as listed in Alexandria.

```
BaLiCo2
1.0
-2.260 2.260 8.582
2.260 -2.260 8.582
2.260 2.260 -8.582
Ba Li Co
2 2 4
Direct
0.375 0.625 0.750
0.625 0.375 0.250
0.125 0.875 0.250
0.875 0.125 0.750
0.000 0.000 0.000
0.000 0.000 0.500
0.000 0.500 0.000
0.500 0.000 0.500
```

Properties
Energy relative to the elements (eV per atom): 0.591
Size of the total moment (μB per cell): 4.411
Offset from the most stable computed form (meV per atom): 335
DOS(E_F) (states/eV/cell): 12.7
Symmetry: No. 141



Entry 9:
First-principles (PBE) data for DyY3Sn3 after structural relaxation, as listed in Alexandria.

```
DyY3Sn3
1.0
9.106 0.000 0.000
-4.553 7.886 0.000
0.000 0.000 5.456
Dy Y Sn
2 6 6
Direct
0.333 0.667 0.250
0.667 0.333 0.750
0.006 0.240 0.250
0.235 0.994 0.250
0.240 0.235 0.750
0.760 0.765 0.250
0.765 0.006 0.750
0.994 0.760 0.750
0.076 0.454 0.750
0.378 0.924 0.750
0.454 0.378 0.250
0.546 0.622 0.750
0.622 0.076 0.250
0.924 0.546 0.250
```

Properties
Energy relative to the elements (eV per atom): -0.532
Size of the total moment (μB per cell): 0.000
DOS(E_F) (states/eV/cell): 13.0
Symmetry: No. 176



Entry 10:
First-principles (PBE) data for KTaTe3Pd after structural relaxation, as listed in Alexandria.

```
KTaTe3Pd
1.0
8.891 0.000 0.000
0.000 3.966 0.000
-4.329 0.000 9.805
K Ta Te Pd
2 2 6 2
Direct
0.017 0.250 0.289
0.983 0.750 0.711
0.465 0.250 0.182
0.535 0.750 0.818
0.224 0.750 0.135
0.302 0.750 0.559
0.336 0.250 0.882
0.664 0.750 0.118
0.698 0.250 0.441
0.776 0.250 0.865
0.467 0.750 0.384
0.533 0.250 0.616
```

Properties
E_form (uncorrected) (eV per atom): -0.58
Size of the total moment (μB per cell): 0.000
DOS(E_F) (states/eV/cell): 2.1
Symmetry: No. 11



The highest size of the total moment belongs to which entry?
BaLiCo2